No. 1
# PBE PRu2Rh, relaxed
# **ΔE_f**: 0.061 eV per atom
# **Spin magnetization**: 0.000 μB per formula unit
# **D(E_F)**: 8.3 states/eV/cell
data_PRu2Rh
_chemical_formula_sum 'P2 Ru4 Rh2'
_cell_length_a 5.618
_cell_length_b 6.903
_cell_length_c 2.791
_cell_angle_alpha 90.00
_cell_angle_beta 90.00
_cell_angle_gamma 90.00
_space_group_name_H-M_alt 'C m m m'
_space_group_IT_number 65
_space_group_name_Hall '-C 2 2'
loop_
_atom_site_label
_atom_site_type_symbol
_atom_site_fract_x
_atom_site_fract_y
_atom_site_fract_z
_atom_site_occupancy
P1 P 0.000 0.000 0.000 1
Ru1 Ru 0.250 0.250 0.500 1
Rh1 Rh 0.000 0.500 0.000 1



No. 2
# PBE P2RuRh, relaxed
# **ΔE_f**: -0.199 eV per atom
# **Spin magnetization**: 0.000 μB per formula unit
# **D(E_F)**: 9.8 states/eV/cell
# **Energy above the most stable polymorph in this dataset**: 0.192 eV per atom
data_P2RuRh
_chemical_formula_sum 'P6 Ru3 Rh3'
_cell_length_a 3.0001
_cell_length_b 3.0001
_cell_length_c 21.8016
_cell_angle_alpha 90.00
_cell_angle_beta 90.00
_cell_angle_gamma 120.00
_space_group_name_H-M_alt 'R 3 m'
_space_group_IT_number 160
_space_group_name_Hall 'R 3 -2"'
loop_
_atom_site_label
_atom_site_type_symbol
_atom_site_fract_x
_atom_site_fract_y
_atom_site_fract_z
_atom_site_occupancy
P1 P 0.0000 0.0000 0.0000 1
P2 P 0.0000 0.0000 0.2489 1
Ru1 Ru 0.0000 0.0000 0.5127 1
Rh1 Rh 0.0000 0.0000 0.7367 1



No. 3
# PBE P2RuRh, relaxed
# **ΔE_f**: -0.159 eV per atom
# **Spin magnetization**: 0.000 μB per formula unit
# **D(E_F)**: 4.4 states/eV/cell
# **Energy above the most stable polymorph in this dataset**: 0.232 eV per atom
data_P2RuRh
_chemical_formula_sum 'P4 Ru2 Rh2'
_cell_length_a 2.972
_cell_length_b 4.065
_cell_length_c 9.237
_cell_angle_alpha 90.00
_cell_angle_beta 90.00
_cell_angle_gamma 90.00
_space_group_name_H-M_alt 'I m m 2'
_space_group_IT_number 44
loop_
_space_group_symop_operation_xyz
'x,y,z'
'-x,-y,z'
'-x,y,z'
'x,-y,z'
'x+1/2,y+1/2,z+1/2'
'-x+1/2,-y+1/2,z+1/2'
'-x+1/2,y+1/2,z+1/2'
'x+1/2,-y+1/2,z+1/2'
loop_
_atom_site_label
_atom_site_type_symbol
_atom_site_fract_x
_atom_site_fract_y
_atom_site_fract_z
_atom_site_occupancy
P1 P 0.000 0.000 0.000 1
P2 P 0.000 0.500 0.217 1
Ru1 Ru 0.000 0.500 0.707 1
Rh1 Rh 0.000 0.000 0.500 1



No. 4
# PBE PRu2Rh, relaxed
# **ΔE_f**: -0.169 eV per atom
# **Spin magnetization**: 0.000 μB per formula unit
# **D(E_F)**: 2.9 states/eV/cell
data_PRu2Rh
_chemical_formula_sum 'P1 Ru2 Rh1'
_cell_length_a 2.840
_cell_length_b 3.779
_cell_length_c 5.274
_cell_angle_alpha 90.00
_cell_angle_beta 105.58
_cell_angle_gamma 90.00
_space_group_name_H-M_alt 'P 1 m 1'
_space_group_IT_number 6
loop_
_space_group_symop_operation_xyz
'x,y,z'
'x,-y,z'
loop_
_atom_site_label
_atom_site_type_symbol
_atom_site_fract_x
_atom_site_fract_y
_atom_site_fract_z
_atom_site_occupancy
P1 P 0.000 0.000 0.000 1
Ru1 Ru 0.228 0.000 0.462 1
Ru2 Ru 0.849 0.500 0.702 1
Rh1 Rh 0.582 0.500 0.169 1



No. 5
# PBE PRu2Rh, relaxed
# **ΔE_f**: -0.171 eV per atom
# **Spin magnetization**: 0.001 μB per formula unit
# **D(E_F)**: 11.4 states/eV/cell
data_PRu2Rh
_chemical_formula_sum 'P2 Ru4 Rh2'
_cell_length_a 9.570
_cell_length_b 2.890
_cell_length_c 4.436
_cell_angle_alpha 90.00
_cell_angle_beta 117.18
_cell_angle_gamma 90.00
_space_group_name_H-M_alt 'C 1 m 1'
_space_group_IT_number 8
loop_
_space_group_symop_operation_xyz
'x,y,z'
'x,-y,z'
'x+1/2,y+1/2,z'
'x+1/2,-y+1/2,z'
loop_
_atom_site_label
_atom_site_type_symbol
_atom_site_fract_x
_atom_site_fract_y
_atom_site_fract_z
_atom_site_occupancy
P1 P 0.000 0.000 0.000 1
Ru1 Ru 0.210 0.500 0.310 1
Ru2 Ru 0.498 0.000 0.580 1
Rh1 Rh 0.289 0.000 0.887 1



No. 6
# PBE P2RuRh, relaxed
# **ΔE_f**: -0.139 eV per atom
# **Spin magnetization**: 0.001 μB per formula unit
# **D(E_F)**: 3.3 states/eV/cell
# **Energy above the most stable polymorph in this dataset**: 0.252 eV per atom
data_P2RuRh
_chemical_formula_sum 'P2 Ru1 Rh1'
_cell_length_a 3.941
_cell_length_b 3.785
_cell_length_c 4.105
_cell_angle_alpha 90.00
_cell_angle_beta 92.76
_cell_angle_gamma 90.00
_space_group_name_H-M_alt 'P 1 2/m 1'
_space_group_IT_number 10
loop_
_space_group_symop_operation_xyz
'x,y,z'
'-x,-y,-z'
'-x,y,-z'
'x,-y,z'
loop_
_atom_site_label
_atom_site_type_symbol
_atom_site_fract_x
_atom_site_fract_y
_atom_site_fract_z
_atom_site_occupancy
P1 P 0.182 0.000 0.309 1
Ru1 Ru 0.000 0.500 0.000 1
Rh1 Rh 0.500 0.500 0.500 1



No. 7
# PBE PRu3Rh, relaxed
# **ΔE_f**: 0.601 eV per atom
# **Spin magnetization**: 0.000 μB per formula unit
# **D(E_F)**: 6.3 states/eV/cell
# **Energy above the most stable polymorph in this dataset**: 0.000 eV per atom
data_PRu3Rh
_chemical_formula_sum 'P1 Ru3 Rh1'
_cell_length_a 4.298
_cell_length_b 4.298
_cell_length_c 4.298
_cell_angle_alpha 90.00
_cell_angle_beta 90.00
_cell_angle_gamma 90.00
_space_group_name_H-M_alt 'P m -3 m'
_space_group_IT_number 221
_space_group_name_Hall '-P 4 2 3'
loop_
_atom_site_label
_atom_site_type_symbol
_atom_site_fract_x
_atom_site_fract_y
_atom_site_fract_z
_atom_site_occupancy
P1 P 0.000 0.000 0.000 1
Ru1 Ru 0.000 0.000 0.500 1
Rh1 Rh 0.500 0.500 0.500 1



No. 8
# PBE P2RuRh, relaxed
# **ΔE_f**: -0.391 eV per atom
# **Spin magnetization**: 0.634 μB per formula unit
# **D(E_F)**: 2.2 states/eV/cell
# **Energy above the most stable polymorph in this dataset**: 0.000 eV per atom
data_P2RuRh
_chemical_formula_sum 'P2 Ru1 Rh1'
_cell_length_a 3.309
_cell_length_b 3.309
_cell_length_c 4.972
_cell_angle_alpha 90.00
_cell_angle_beta 90.00
_cell_angle_gamma 90.00
_space_group_name_H-M_alt 'P 4 m m'
_space_group_IT_number 99
loop_
_space_group_symop_operation_xyz
'x,y,z'
'-y,x,z'
'-x,-y,z'
'y,-x,z'
'-x,y,z'
'y,x,z'
'x,-y,z'
'-y,-x,z'
loop_
_atom_site_label
_atom_site_type_symbol
_atom_site_fract_x
_atom_site_fract_y
_atom_site_fract_z
_atom_site_occupancy
P1 P 0.000 0.000 0.000 1
P2 P 0.500 0.500 0.350 1
Ru1 Ru 0.500 0.500 0.856 1
Rh1 Rh 0.000 0.000 0.481 1